[1]
DFT (PBE) results for crystalline Ac2Si4Pd3Rh at its relaxed geometry.

a = 4.347 Å, b = 4.347 Å, c = 10.204 Å
α = 90.00°, β = 90.00°, γ = 90.00°
Fractional coordinates of all 10 atoms:
1 Ac 0.500 0.000 0.245
2 Ac 0.000 0.500 0.755
3 Si 0.500 0.500 0.000
4 Si 0.000 0.000 0.000
5 Si 0.500 0.000 0.620
6 Si 0.000 0.500 0.380
7 Pd 0.000 0.000 0.500
8 Pd 0.500 0.000 0.876
9 Pd 0.000 0.500 0.124
10 Rh 0.500 0.500 0.500

Values from the calculation:
For the magnetic moment, the calculation gives 0.000 μB per formula unit. Its total DFT energy (no corrections) is -6.148 eV/atom. For the volume, the calculation gives 19.28 Å³/atom.



[2]
DFT (PBE) results for crystalline CsGaAu at its relaxed geometry.

a = 5.904 Å, b = 4.527 Å, c = 4.527 Å
α = 120.00°, β = 90.00°, γ = 90.00°
Fractional coordinates of all 3 atoms:
1 Cs 0.667 0.333 0.667
2 Au 0.167 0.000 0.000
3 Ga 0.167 0.667 0.333

Values from the calculation:
For the magnetic moment, the calculation gives 0.000 μB per formula unit. The energy above the most stable polymorph in this dataset comes out at 0.109 eV per atom. Its formation energy is -0.61 eV/f.u. Its total DFT energy (no corrections) is -2.588 eV/atom. For the volume, the calculation gives 34.93 Å³/atom.



[3]
DFT (PBE) results for crystalline Sn2AsCl at its relaxed geometry.

a = 7.768 Å, b = 7.768 Å, c = 6.702 Å
α = 54.58°, β = 54.58°, γ = 90.00°
Fractional coordinates of all 8 atoms:
1 As 0.000 0.000 0.000
2 As 0.750 0.250 0.500
3 Sn 0.652 0.125 0.250
4 Sn 0.098 0.625 0.250
5 Sn 0.375 0.348 0.750
6 Sn 0.875 0.902 0.750
7 Cl 0.500 0.500 0.000
8 Cl 0.250 0.750 0.500

Values from the calculation:
For the magnetic moment, the calculation gives 0.000 μB per formula unit. The energy above the most stable polymorph in this dataset comes out at 0.221 eV per atom. Its total DFT energy (no corrections) is -3.755 eV/atom. For the volume, the calculation gives 28.96 Å³/atom.



[4]
DFT (PBE) results for crystalline La4Pr3Au2 at its relaxed geometry.

a = 3.906 Å, b = 9.564 Å, c = 9.132 Å
α = 112.41°, β = 102.35°, γ = 90.00°
Fractional coordinates of all 9 atoms:
1 La 0.238 0.677 0.476
2 La 0.762 0.323 0.524
3 La 0.626 0.879 0.252
4 La 0.374 0.121 0.748
5 Pr 0.073 0.171 0.147
6 Pr 0.927 0.829 0.853
7 Pr 0.000 0.500 0.000
8 Au 0.383 0.554 0.767
9 Au 0.617 0.446 0.233

Values from the calculation:
For the magnetic moment, the calculation gives 0.349 μB per formula unit. Its formation energy is -2.62 eV/f.u. Its total DFT energy (no corrections) is -4.802 eV/atom. For the volume, the calculation gives 34.09 Å³/atom.